The following is a GGA-PBE calculation of crystalline Nd2HoNi9 at its relaxed geometry, from the Alexandria database.

a = 4.9928 Å, b = 4.9928 Å, c = 8.7622 Å
α = 73.45°, β = 73.45°, γ = 60.00°
Last column: nearest neighbours and their distance in Å.
Fractional coordinates of all 12 atoms:
Nd (0.8622, 0.8622, 0.4135)  12 Ni 2.88-3.22, 3 Nd 3.22
Nd (0.1378, 0.1378, 0.5865)  12 Ni 2.88-3.22, 3 Nd 3.22
Ho (0.0000, 0.0000, 0.0000)  18 Ni 2.88-3.18
Ni (0.6672, 0.6672, 0.9985)  6 Ni 2.44-2.46
Ni (0.3328, 0.3328, 0.0015)  6 Ni 2.44-2.46
Ni (0.5000, 0.5000, 0.5000)  6 Ni 2.59
Ni (0.4207, 0.4207, 0.2390)  7 Ni 2.44-2.59
Ni (0.9195, 0.4207, 0.2390)  7 Ni 2.44-2.59
Ni (0.4207, 0.9195, 0.2390)  7 Ni 2.44-2.59
Ni (0.5793, 0.5793, 0.7610)  7 Ni 2.44-2.59
Ni (0.5793, 0.0805, 0.7610)  7 Ni 2.44-2.59
Ni (0.0805, 0.5793, 0.7610)  7 Ni 2.44-2.59

Summary:
Space group: No. 166
Magnetic moment: 1.0 Bohr magnetons per cell
DFT total energy: -5.851 eV/atom
N(E_F): 14.259 states/eV per cell
Energy of formation: -0.339 eV/atom


The following is a GGA-PBE calculation of crystalline Ho6Er7Tm16 at its relaxed geometry, from the Alexandria database.

a = 10.9358 Å, b = 10.9358 Å, c = 10.9358 Å
α = 60.00°, β = 60.00°, γ = 60.00°
Last column: nearest neighbours and their distance in Å.
Fractional coordinates of all 29 atoms:
Ho (0.2810, 0.7190, 0.2810)  8 Tm 3.49-3.63, 4 Er 3.90
Ho (0.7190, 0.2810, 0.7190)  8 Tm 3.49-3.63, 4 Er 3.90
Ho (0.7190, 0.2810, 0.2810)  8 Tm 3.49-3.63, 4 Er 3.90
Ho (0.2810, 0.7190, 0.7190)  8 Tm 3.49-3.63, 4 Er 3.90
Ho (0.7190, 0.7190, 0.2810)  8 Tm 3.49-3.63, 4 Er 3.90
Ho (0.2810, 0.2810, 0.7190)  8 Tm 3.49-3.63, 4 Er 3.90
Er (0.0000, 0.0000, 0.0000)  8 Tm 3.27
Er (0.5000, 0.0000, 0.5000)  8 Tm 3.18-3.38
Er (0.0000, 0.5000, 0.0000)  8 Tm 3.18-3.38
Er (0.0000, 0.5000, 0.5000)  8 Tm 3.18-3.38
Er (0.5000, 0.0000, 0.0000)  8 Tm 3.18-3.38
Er (0.0000, 0.0000, 0.5000)  8 Tm 3.18-3.38
Er (0.5000, 0.5000, 0.0000)  8 Tm 3.18-3.38
Tm (0.8780, 0.8780, 0.3660)  4 Er 3.27-3.38, 3 Tm 3.55, 3 Ho 3.63
Tm (0.8780, 0.8780, 0.8780)  4 Er 3.27-3.38, 3 Tm 3.55, 3 Ho 3.63
Tm (0.8780, 0.3660, 0.8780)  4 Er 3.27-3.38, 3 Tm 3.55, 3 Ho 3.63
Tm (0.3660, 0.8780, 0.8780)  4 Er 3.27-3.38, 3 Tm 3.55, 3 Ho 3.63
Tm (0.1220, 0.1220, 0.1220)  4 Er 3.27-3.38, 3 Tm 3.55, 3 Ho 3.63
Tm (0.1220, 0.1220, 0.6340)  4 Er 3.27-3.38, 3 Tm 3.55, 3 Ho 3.63
Tm (0.1220, 0.6340, 0.1220)  4 Er 3.27-3.38, 3 Tm 3.55, 3 Ho 3.63
Tm (0.6340, 0.1220, 0.1220)  4 Er 3.27-3.38, 3 Tm 3.55, 3 Ho 3.63
Tm (0.6526, 0.6526, 0.0423)  3 Er 3.18, 3 Ho 3.49, 3 Tm 3.55
Tm (0.6526, 0.6526, 0.6526)  3 Er 3.18, 3 Ho 3.49, 3 Tm 3.55
Tm (0.6526, 0.0423, 0.6526)  3 Er 3.18, 3 Ho 3.49, 3 Tm 3.55
Tm (0.0423, 0.6526, 0.6526)  3 Er 3.18, 3 Ho 3.49, 3 Tm 3.55
Tm (0.3474, 0.3474, 0.3474)  3 Er 3.18, 3 Ho 3.49, 3 Tm 3.55
Tm (0.3474, 0.3474, 0.9577)  3 Er 3.18, 3 Ho 3.49, 3 Tm 3.55
Tm (0.3474, 0.9577, 0.3474)  3 Er 3.18, 3 Ho 3.49, 3 Tm 3.55
Tm (0.9577, 0.3474, 0.3474)  3 Er 3.18, 3 Ho 3.49, 3 Tm 3.55

Summary:
Space group: No. 225
Magnetic moment: 5.1 Bohr magnetons per cell
DFT total energy: -4.261 eV/atom
N(E_F): 56.875 states/eV per cell
Energy of formation: 0.255 eV/atom


The following is a GGA-PBE calculation of crystalline CaTlCd2 at its relaxed geometry, from the Alexandria database.

a = 5.3971 Å, b = 5.3971 Å, c = 5.8875 Å
α = 75.60°, β = 75.60°, γ = 41.32°
Last column: nearest neighbours and their distance in Å.
Fractional coordinates of all 4 atoms:
Tl (0.4923, 0.4923, 0.5124)  5 Cd 3.17-3.33, 3 Ca 3.20-3.27
Ca (0.2517, 0.2517, 0.2518)  3 Tl 3.20-3.27, 7 Cd 3.29-3.58
Cd (0.0083, 0.0083, 0.9677)  3 Cd 3.06-3.15, 3 Ca 3.29-3.32, 2 Tl 3.33
Cd (0.7477, 0.7477, 0.7681)  3 Cd 3.06-3.15, 3 Tl 3.17-3.31

Summary:
Space group: No. 8
Magnetic moment: 0.0 Bohr magnetons per cell
Polymorph energy (0 for the lowest one): 0.060 eV per atom
DFT total energy: -1.728 eV/atom
N(E_F): 1.862 states/eV per cell
Energy of formation: -0.178 eV/atom


The following is a GGA-PBE calculation of crystalline LiCrGe at its relaxed geometry, from the Alexandria database.

a = 3.8706 Å, b = 3.8706 Å, c = 7.0892 Å
α = 74.16°, β = 74.16°, γ = 60.00°
Last column: nearest neighbours and their distance in Å.
Fractional coordinates of all 6 atoms:
Ge (0.5803, 0.5803, 0.2590)  4 Cr 2.45-2.48, 3 Li 2.51
Ge (0.4197, 0.4197, 0.7410)  4 Cr 2.45-2.48, 3 Li 2.51
Cr (0.2970, 0.2970, 0.1090)  4 Ge 2.45-2.48, 3 Cr 2.67
Cr (0.7030, 0.7030, 0.8910)  4 Ge 2.45-2.48, 3 Cr 2.67
Li (0.8576, 0.8576, 0.4273)  3 Li 2.44, 3 Ge 2.51
Li (0.1424, 0.1424, 0.5727)  3 Li 2.44, 3 Ge 2.51

Summary:
Space group: No. 166
Magnetic moment: 0.0 Bohr magnetons per cell
DFT total energy: -5.266 eV/atom
N(E_F): 3.453 states/eV per cell
Energy of formation: 0.119 eV/atom


The following is a GGA-PBE calculation of crystalline BeZnAg at its relaxed geometry, from the Alexandria database.

a = 2.8268 Å, b = 2.8268 Å, c = 10.0897 Å
α = 90.00°, β = 90.00°, γ = 90.00°
Last column: nearest neighbours and their distance in Å.
Fractional coordinates of all 6 atoms:
Be (0.0000, 0.0000, 0.8673)  4 Be 2.26, 4 Zn 2.46
Be (0.5000, 0.5000, 0.9713)  4 Be 2.26, 1 Zn 2.48
Zn (0.5000, 0.5000, 0.7258)  5 Be 2.46-2.48
Zn (0.5000, 0.5000, 0.3271)  4 Zn 2.83, 8 Ag 2.84-2.85
Ag (0.0000, 0.0000, 0.5267)  4 Ag 2.83, 8 Zn 2.83-2.84
Ag (0.0000, 0.0000, 0.1262)  5 Be 2.54-2.61, 4 Ag 2.83

Summary:
Space group: No. 99
Magnetic moment: 0.0 Bohr magnetons per cell
Polymorph energy (0 for the lowest one): 0.040 eV per atom
DFT total energy: -2.527 eV/atom
N(E_F): 1.575 states/eV per cell
Energy of formation: 0.090 eV/atom


The following is a GGA-PBE calculation of crystalline CrBiS2Cl at its relaxed geometry, from the Alexandria database.

a = 4.7955 Å, b = 4.7955 Å, c = 4.5620 Å
α = 90.00°, β = 90.00°, γ = 90.00°
Last column: nearest neighbours and their distance in Å.
Fractional coordinates of all 5 atoms:
Cr (0.0000, 0.0000, 0.0000)  2 Cl 2.28, 4 S 2.40
S (0.0000, 0.5000, 0.0000)  2 Cr 2.40
S (0.5000, 0.0000, 0.0000)  2 Cr 2.40
Bi (0.5000, 0.5000, 0.5000)  8 S 3.31, 4 Cl 3.39
Cl (0.0000, 0.0000, 0.5000)  2 Cr 2.28

Summary:
Space group: No. 123
Magnetic moment: 3.6 Bohr magnetons per cell
Polymorph energy (0 for the lowest one): 0.000 eV per atom
DFT total energy: -4.960 eV/atom
N(E_F): 1.612 states/eV per cell


The following is a GGA-PBE calculation of crystalline Pu2AgPt at its relaxed geometry, from the Alexandria database.

a = 4.1120 Å, b = 4.1120 Å, c = 7.7000 Å
α = 74.51°, β = 74.51°, γ = 60.00°
Last column: nearest neighbours and their distance in Å.
Fractional coordinates of all 4 atoms:
Pu (0.0721, 0.0721, 0.7837)  3 Pt 2.85, 3 Ag 3.15
Pu (0.2612, 0.2612, 0.2165)  3 Pt 2.86, 3 Ag 3.16
Ag (0.4998, 0.4998, 0.5006)  6 Pu 3.15-3.16
Pt (0.6669, 0.6669, 0.9992)  6 Pu 2.85-2.86

Summary:
Space group: No. 160
Magnetic moment: 11.2 Bohr magnetons per cell
DFT total energy: -9.594 eV/atom
N(E_F): 20.457 states/eV per cell
Energy of formation: -0.205 eV/atom


The following is a GGA-PBE calculation of crystalline DyTm2CdRh4 at its relaxed geometry, from the Alexandria database.

a = 4.7356 Å, b = 4.7356 Å, c = 8.1746 Å
α = 73.16°, β = 73.16°, γ = 60.00°
Last column: nearest neighbours and their distance in Å.
Fractional coordinates of all 8 atoms:
Dy (0.0000, 0.0000, 0.0000)  8 Rh 2.83-2.90
Tm (0.7562, 0.7562, 0.7313)  8 Rh 2.80-3.03
Tm (0.2438, 0.2438, 0.2687)  8 Rh 2.80-3.03
Cd (0.5000, 0.5000, 0.5000)  8 Rh 2.89-2.92
Rh (0.3750, 0.3750, 0.8751)  1 Cd 2.89, 3 Dy 2.90, 4 Tm 2.95-3.03
Rh (0.8774, 0.8774, 0.3678)  4 Tm 2.80-2.84, 1 Dy 2.83, 3 Cd 2.92
Rh (0.1226, 0.1226, 0.6322)  4 Tm 2.80-2.84, 1 Dy 2.83, 3 Cd 2.92
Rh (0.6250, 0.6250, 0.1249)  1 Cd 2.89, 3 Dy 2.90, 4 Tm 2.95-3.03

Summary:
Space group: No. 166
Magnetic moment: 0.0 Bohr magnetons per cell
DFT total energy: -6.281 eV/atom
N(E_F): 3.277 states/eV per cell
Energy of formation: -0.798 eV/atom


The following is a GGA-PBE calculation of crystalline TaTc3Te at its relaxed geometry, from the Alexandria database.

a = 4.7037 Å, b = 4.7037 Å, c = 4.7037 Å
α = 90.00°, β = 90.00°, γ = 90.00°
Last column: nearest neighbours and their distance in Å.
Fractional coordinates of all 5 atoms:
Te (0.0000, 0.0000, 0.0000)  6 Tc 2.35
Tc (0.0000, 0.5000, 0.0000)  2 Te 2.35
Tc (0.0000, 0.0000, 0.5000)  2 Te 2.35
Tc (0.5000, 0.0000, 0.0000)  2 Te 2.35
Ta (0.5000, 0.5000, 0.5000)  12 Tc 3.33

Summary:
Space group: No. 221
Magnetic moment: 0.0 Bohr magnetons per cell
Polymorph energy (0 for the lowest one): 0.108 eV per atom
DFT total energy: -7.466 eV/atom
N(E_F): 3.682 states/eV per cell


The following is a GGA-PBE calculation of crystalline NaInHO2 at its relaxed geometry, from the Alexandria database.

a = 4.1754 Å, b = 3.3785 Å, c = 4.1754 Å
α = 90.00°, β = 90.00°, γ = 90.00°
Last column: nearest neighbours and their distance in Å.
Fractional coordinates of all 5 atoms:
Na (0.0000, 0.0000, 0.0000)  2 H 1.69
H (0.0000, 0.5000, 0.0000)  2 Na 1.69
O (0.0000, 0.0000, 0.5000)  2 Na 2.09
O (0.5000, 0.0000, 0.0000)  2 Na 2.09
In (0.5000, 0.5000, 0.5000)  8 O 2.69, 4 H 2.95

Summary:
Space group: No. 123
Magnetic moment: 1.0 Bohr magnetons per cell
DFT total energy: -3.398 eV/atom
N(E_F): 1.543 states/eV per cell


The following is a GGA-PBE calculation of crystalline NaSrTeBr at its relaxed geometry, from the Alexandria database.

a = 5.5706 Å, b = 5.5706 Å, c = 5.5706 Å
α = 60.00°, β = 60.00°, γ = 60.00°
Last column: nearest neighbours and their distance in Å.
Fractional coordinates of all 4 atoms:
Sr (0.0000, 0.0000, 0.0000)  4 Te 3.41, 4 Br 3.41
Te (0.7500, 0.7500, 0.7500)  4 Na 3.41, 4 Sr 3.41
Br (0.2500, 0.2500, 0.2500)  4 Na 3.41, 4 Sr 3.41
Na (0.5000, 0.5000, 0.5000)  4 Br 3.41, 4 Te 3.41

Summary:
Space group: No. 216
Magnetic moment: 0.0 Bohr magnetons per cell
Polymorph energy (0 for the lowest one): 0.103 eV per atom
DFT total energy: -3.418 eV/atom
N(E_F): 0.000 states/eV per cell


The following is a GGA-PBE calculation of crystalline ZrI at its relaxed geometry, from the Alexandria database.

a = 10.6840 Å, b = 10.6840 Å, c = 3.6466 Å
α = 90.00°, β = 90.00°, γ = 120.00°
Last column: nearest neighbours and their distance in Å.
Fractional coordinates of all 12 atoms:
Zr (0.6243, 0.1437, 0.2500)  4 I 2.89-3.14, 2 Zr 3.19
Zr (0.4806, 0.6243, 0.7500)  4 I 2.89-3.14, 2 Zr 3.19
Zr (0.8563, 0.4806, 0.2500)  4 I 2.89-3.14, 2 Zr 3.19
Zr (0.3757, 0.8563, 0.7500)  4 I 2.89-3.14, 2 Zr 3.19
Zr (0.5194, 0.3757, 0.2500)  4 I 2.89-3.14, 2 Zr 3.19
Zr (0.1437, 0.5194, 0.7500)  4 I 2.89-3.14, 2 Zr 3.19
I (0.9615, 0.2788, 0.2500)  4 Zr 2.89-3.14
I (0.6827, 0.9615, 0.7500)  4 Zr 2.89-3.14
I (0.7212, 0.6827, 0.2500)  4 Zr 2.89-3.14
I (0.0385, 0.7212, 0.7500)  4 Zr 2.89-3.14
I (0.3173, 0.0385, 0.2500)  4 Zr 2.89-3.14
I (0.2788, 0.3173, 0.7500)  4 Zr 2.89-3.14

Summary:
Space group: No. 176
Magnetic moment: 0.0 Bohr magnetons per cell
DFT total energy: -5.316 eV/atom
N(E_F): 10.559 states/eV per cell